First-principles (GGA+U) data for RbAcNiO3 after structural relaxation, as listed in the Alexandria database.

**Total moment**: 0.01 μB/f.u.
**V**: 17.4 Å³/atom
**Density of states at the Fermi level**: 0.00 states/eV/atom
**Total energy**: -0.210 Ha/atom

Unit cell a=13.731 b=4.003 c=7.921 alpha=90.00 beta=106.04 gamma=90.00
Space group C2/m (No. 12)
Inequivalent atoms, fractional coordinates:
Rb  0.139  0.000  0.063 (multiplicity 4)
Ac  0.150  0.000  0.585 (multiplicity 4)
Ni  0.009  0.500  0.287 (multiplicity 4)
O  0.009  0.000  0.305 (multiplicity 4)
O  0.137  0.500  0.776 (multiplicity 4)
O  0.157  0.500  0.370 (multiplicity 4)

First-principles (GGA+U) data for Ac2ReNiO8 after structural relaxation, as listed in the Alexandria database.

**Total moment**: 1.02 μB/f.u.
**V**: 14.4 Å³/atom
**Total energy**: -0.271 Ha/atom

Unit cell a=4.539 b=5.434 c=7.095 alpha=83.44 beta=86.87 gamma=82.54
Space group P-1 (No. 2)
Inequivalent atoms, fractional coordinates:
Ac  0.196  0.024  0.245 (multiplicity 2)
Re  0.500  0.500  0.500 (multiplicity 1)
Ni  0.500  0.500  0.000 (multiplicity 1)
O  0.184  0.736  0.557 (multiplicity 2)
O  0.306  0.814  0.946 (multiplicity 2)
O  0.310  0.235  0.618 (multiplicity 2)
O  0.322  0.483  0.251 (multiplicity 2)

First-principles (GGA+U) data for AcReNiO6 after structural relaxation, as listed in the Alexandria database.

**Total moment**: 2.00 μB/f.u.
**V**: 14.2 Å³/atom
**Total energy**: -0.274 Ha/atom

Unit cell a=5.2860 b=5.2860 c=5.2829 alpha=90.00 beta=90.00 gamma=120.00
Space group P312 (No. 149)
Inequivalent atoms, fractional coordinates:
Ac  0.0000  0.0000  0.0000 (multiplicity 1)
Re  0.3333  0.6667  0.5000 (multiplicity 1)
Ni  0.6667  0.3333  0.5000 (multiplicity 1)
O  0.0241  0.3891  0.2937 (multiplicity 6)

First-principles (GGA+U) data for Ac2NiRhO6 after structural relaxation, as listed in the Alexandria database.

**Total moment**: 3.07 μB/f.u.
**V**: 13.2 Å³/atom
**Density of states at the Fermi level**: 0.66 states/eV/atom
**Total energy**: -0.256 Ha/atom

Unit cell a=5.722 b=5.709 c=9.890 alpha=90.00 beta=125.35 gamma=90.00
Space group P2_1/c (No. 14)
Inequivalent atoms, fractional coordinates:
Ac  0.245  0.033  0.250 (multiplicity 4)
Ni  0.500  0.000  0.000 (multiplicity 2)
Rh  0.000  0.000  0.500 (multiplicity 2)
O  0.176  0.219  0.963 (multiplicity 4)
O  0.243  0.714  0.963 (multiplicity 4)
O  0.316  0.010  0.748 (multiplicity 4)

First-principles (GGA+U) data for AcNi2RhO6 after structural relaxation, as listed in the Alexandria database.

**Total moment**: 2.03 μB/f.u.
**V**: 12.3 Å³/atom
**Density of states at the Fermi level**: 0.45 states/eV/atom
**Total energy**: -0.220 Ha/atom

Unit cell a=5.393 b=5.785 c=9.538 alpha=90.00 beta=124.40 gamma=90.00
Space group P2_1/c (No. 14)
Inequivalent atoms, fractional coordinates:
Ac  0.000  0.000  0.000 (multiplicity 2)
Ni  0.201  0.001  0.702 (multiplicity 4)
Rh  0.500  0.000  0.500 (multiplicity 2)
O  0.163  0.211  0.324 (multiplicity 4)
O  0.180  0.642  0.001 (multiplicity 4)
O  0.488  0.716  0.827 (multiplicity 4)

First-principles (GGA+U) data for AcNiRhO6 after structural relaxation, as listed in the Alexandria database.

**Total moment**: 2.04 μB/f.u.
**V**: 13.5 Å³/atom
**Density of states at the Fermi level**: 0.35 states/eV/atom
**Total energy**: -0.228 Ha/atom

Unit cell a=5.1161 b=5.1161 c=5.3598 alpha=90.00 beta=90.00 gamma=120.00
Space group P312 (No. 149)
Inequivalent atoms, fractional coordinates:
Ac  0.0000  0.0000  0.0000 (multiplicity 1)
Ni  0.3333  0.6667  0.5000 (multiplicity 1)
Rh  0.6667  0.3333  0.5000 (multiplicity 1)
O  0.0117  0.3821  0.7008 (multiplicity 6)

First-principles (GGA+U) data for Ac2NiRuO8 after structural relaxation, as listed in the Alexandria database.

**Total moment**: 2.00 μB/f.u.
**V**: 14.0 Å³/atom
**Density of states at the Fermi level**: 0.22 states/eV/atom
**Total energy**: -0.249 Ha/atom

Unit cell a=4.456 b=5.354 c=7.102 alpha=85.09 beta=88.51 gamma=83.90
Space group P-1 (No. 2)
Inequivalent atoms, fractional coordinates:
Ac  0.203  0.017  0.248 (multiplicity 2)
Ni  0.500  0.500  0.000 (multiplicity 1)
Ru  0.500  0.500  0.500 (multiplicity 1)
O  0.187  0.724  0.567 (multiplicity 2)
O  0.303  0.814  0.940 (multiplicity 2)
O  0.305  0.216  0.604 (multiplicity 2)
O  0.310  0.494  0.245 (multiplicity 2)

First-principles (GGA+U) data for AcNiRuO6 after structural relaxation, as listed in the Alexandria database.

**Total moment**: 2.94 μB/f.u.
**V**: 14.0 Å³/atom
**Density of states at the Fermi level**: 0.49 states/eV/atom
**Total energy**: -0.243 Ha/atom

Unit cell a=5.2510 b=5.2510 c=5.2601 alpha=90.00 beta=90.00 gamma=120.00
Space group P312 (No. 149)
Inequivalent atoms, fractional coordinates:
Ac  0.0000  0.0000  0.0000 (multiplicity 1)
Ni  0.3333  0.6667  0.5000 (multiplicity 1)
Ru  0.6667  0.3333  0.5000 (multiplicity 1)
O  0.3861  0.0168  0.7067 (multiplicity 6)

First-principles (GGA+U) data for AcNiS2O8 after structural relaxation, as listed in the Alexandria database.

**Total moment**: 1.02 μB/f.u.
**V**: 12.6 Å³/atom
**Density of states at the Fermi level**: 0.57 states/eV/atom
**Total energy**: -0.227 Ha/atom

Unit cell a=4.9357 b=4.9357 c=21.4454 alpha=90.00 beta=90.00 gamma=120.00
Space group R-3 (No. 148, hexagonal axes)
Inequivalent atoms, fractional coordinates:
Ac  0.0000  0.0000  0.0000 (multiplicity 3)
Ni  0.0000  0.0000  0.5000 (multiplicity 3)
S  0.0000  0.0000  0.2502 (multiplicity 6)
O  0.0000  0.0000  0.3219 (multiplicity 6)
O  0.0199  0.7214  0.7692 (multiplicity 18)

First-principles (GGA+U) data for AcNiSbO6 after structural relaxation, as listed in the Alexandria database.

**Total moment**: 3.07 μB/f.u.
**V**: 14.4 Å³/atom
**Density of states at the Fermi level**: 0.48 states/eV/atom
**Total energy**: -0.220 Ha/atom

Unit cell a=5.070 b=5.070 c=10.078 alpha=90.00 beta=90.00 gamma=90.00
Space group P4_2nm (No. 102)
Inequivalent atoms, fractional coordinates:
Ac  0.000  0.000  0.000 (multiplicity 2)
Ni  0.000  0.000  0.670 (multiplicity 2)
Sb  0.000  0.000  0.343 (multiplicity 2)
O  0.167  0.167  0.504 (multiplicity 4)
O  0.207  0.207  0.207 (multiplicity 4)
O  0.224  0.224  0.814 (multiplicity 4)

First-principles (GGA+U) data for AcNiSb2O8 after structural relaxation, as listed in the Alexandria database.

**Total moment**: 2.59 μB/f.u.
**V**: 14.1 Å³/atom
**Density of states at the Fermi level**: 0.68 states/eV/atom
**Total energy**: -0.224 Ha/atom

Unit cell a=5.107 b=6.488 c=5.108 alpha=90.00 beta=94.93 gamma=90.00
Space group P2/m (No. 10)
Inequivalent atoms, fractional coordinates:
Ac  0.000  0.000  0.000 (multiplicity 1)
Ni  0.000  0.500  0.000 (multiplicity 1)
Sb  0.500  0.260  0.500 (multiplicity 2)
O  0.215  0.283  0.218 (multiplicity 4)
O  0.317  0.500  0.684 (multiplicity 2)
O  0.336  0.000  0.666 (multiplicity 2)

First-principles (GGA+U) data for AcNi2SbO6 after structural relaxation, as listed in the Alexandria database.

**Total moment**: 3.97 μB/f.u.
**V**: 12.8 Å³/atom
**Density of states at the Fermi level**: 0.00 states/eV/atom
**Total energy**: -0.222 Ha/atom

Unit cell a=5.477 b=5.836 c=9.706 alpha=90.00 beta=124.27 gamma=90.00
Space group P2_1/c (No. 14)
Inequivalent atoms, fractional coordinates:
Ac  0.000  0.000  0.000 (multiplicity 2)
Ni  0.205  0.005  0.701 (multiplicity 4)
Sb  0.500  0.000  0.500 (multiplicity 2)
O  0.172  0.145  0.493 (multiplicity 4)
O  0.183  0.730  0.838 (multiplicity 4)
O  0.467  0.192  0.314 (multiplicity 4)